# CuBSb2Rh PBE relaxed
# Energy in eV per cell: -23.60
# Total moment in μB/atom: 0.000
# Formation energy (no corrections) in kcal/mol of atoms: 12.77
data_CuBSb2Rh
_space_group_name_H-M_alt 'P 4/m m m'
_space_group_IT_number 123
_space_group_name_Hall '-P 4 2'
_cell_length_a 4.819
_cell_length_b 4.819
_cell_length_c 4.033
_cell_angle_alpha 90.00
_cell_angle_beta 90.00
_cell_angle_gamma 90.00
loop_
_atom_site_label
_atom_site_fract_x
_atom_site_fract_y
_atom_site_fract_z
_atom_site_occupancy
Cu1 0.000 0.000 0.000 1
B1 0.500 0.500 0.500 1
Sb1 0.000 0.500 0.500 1
Rh1 0.500 0.500 0.000 1